Entry 1:
A relaxed structure of NdTlAg3S4, computed with PBE.

## Properties
Space-group type: No. 215
DFT total energy in eV/atom: -4.0246
Total magnetic moment in Bohr magnetons per cell: 0.692

```
NdTlAg3S4
1.0
6.3106 0.0000 0.0000
0.0000 6.3106 0.0000
0.0000 0.0000 6.3106
Ag Nd S Tl
3 1 4 1
Direct
0.5000 0.5000 0.0000 Ag
0.5000 0.0000 0.5000 Ag
0.0000 0.5000 0.5000 Ag
0.5000 0.5000 0.5000 Nd
0.2565 0.2565 0.2565 S
0.7435 0.7435 0.2565 S
0.7435 0.2565 0.7435 S
0.2565 0.7435 0.7435 S
0.0000 0.0000 0.0000 Tl
```

=====

Entry 2:
A relaxed structure of Tm3PPd, computed with PBE.

## Properties
Space-group type: No. 221
DFT total energy in eV/atom: -5.2091
Total magnetic moment in Bohr magnetons per cell: 1.182

```
Tm3PPd
1.0
-4.6904 2.0208 0.2905
-0.8408 -2.5753 4.3392
1.8604 3.9309 2.6934
P Pd Tm
1 1 3
Direct
0.0000 0.0000 0.0000 P
0.5000 0.5000 0.5000 Pd
0.5000 0.0000 0.0000 Tm
0.0000 0.5000 0.0000 Tm
0.0000 0.0000 0.5000 Tm
```

=====

Entry 3:
A relaxed structure of La2SmNi9, computed with PBE.

## Properties
DFT formation energy in eV/f.u.: -4.06
Space-group type: No. 166
DFT total energy in eV/atom: -5.7275
Total magnetic moment in Bohr magnetons per cell: 0.048
ΔE to the lowest computed polymorph in kJ per mole of atoms: 0.0

```
La2SmNi9
1.0
2.4969 1.4416 8.3058
-2.4969 1.4416 8.3058
0.0000 -2.8831 8.3058
La Ni Sm
2 9 1
Direct
0.1386 0.1386 0.1386 La
0.8614 0.8614 0.8614 La
0.5793 0.5793 0.0815 Ni
0.3325 0.3325 0.3325 Ni
0.4207 0.9185 0.4207 Ni
0.9185 0.4207 0.4207 Ni
0.5000 0.5000 0.5000 Ni
0.0815 0.5793 0.5793 Ni
0.5793 0.0815 0.5793 Ni
0.6675 0.6675 0.6675 Ni
0.4207 0.4207 0.9185 Ni
0.0000 0.0000 0.0000 Sm
```

=====

Entry 4:
A relaxed structure of Th3Co, computed with PBE.

## Properties
DFT formation energy in eV/f.u.: 1.51
Space-group type: No. 225
DFT total energy in eV/atom: -6.9592
Total magnetic moment in Bohr magnetons per cell: 0.029

```
Th3Co
1.0
-3.3178 -1.9878 3.5746
-4.9793 1.7034 0.2054
-3.9288 -3.1591 -1.5235
Co Th
1 3
Direct
0.7500 0.7500 0.7500 Co
0.0000 0.0000 0.0000 Th
0.2500 0.2500 0.2500 Th
0.5000 0.5000 0.5000 Th
```

=====

Entry 5:
A relaxed structure of Cu2Ag3, computed with PBE.

## Properties
DFT formation energy in eV/f.u.: 0.42
Space-group type: No. 8
DFT total energy in eV/atom: -3.0975
ΔE to the lowest computed polymorph in kJ per mole of atoms: 5.0

```
Cu2Ag3
1.0
7.5096 -1.4155 0.0000
7.5096 1.4155 0.0000
-1.8903 0.0000 7.3183
Ag Cu
6 4
Direct
0.1931 0.1931 0.1103 Ag
0.4049 0.4049 0.2013 Ag
0.7983 0.7983 0.4154 Ag
0.4122 0.4122 0.7089 Ag
0.5999 0.5999 0.7881 Ag
0.7952 0.7952 0.8836 Ag
0.0068 0.0068 0.0159 Cu
0.5948 0.5948 0.3084 Cu
0.0061 0.0061 0.4899 Cu
0.1886 0.1886 0.5781 Cu
```

=====

Entry 6:
A relaxed structure of As2Au2O5, computed with PBE.

## Properties
Space-group type: No. 123
DFT total energy in eV/atom: -4.6612
ΔE to the lowest computed polymorph in kJ per mole of atoms: 0.0

```
As2Au2O5
1.0
-7.7141 -1.0720 -2.0290
0.0109 -3.3907 1.7499
-1.0879 1.6745 3.2514
As Au O
2 2 5
Direct
0.2683 0.5000 0.5000 As
0.7318 0.5000 0.5000 As
0.0000 0.0000 0.0000 Au
0.5000 0.0000 0.0000 Au
0.2282 0.5000 0.0000 O
0.7718 0.5000 0.0000 O
0.2282 0.0000 0.5000 O
0.7718 0.0000 0.5000 O
0.5000 0.5000 0.5000 O
```

=====

Entry 7:
A relaxed structure of LaTm2Mg3Ir2Pt, computed with PBE.

## Properties
Space-group type: No. 38
DFT total energy in eV/atom: -5.4751
Total magnetic moment in Bohr magnetons per cell: 0.004

```
LaTm2Mg3Ir2Pt
1.0
4.0554 0.0000 0.0000
0.0000 6.3477 3.6921
0.0000 -6.3477 3.6921
Ir La Mg Pt Tm
2 1 3 1 2
Direct
0.5000 0.6701 0.3281 Ir
0.5000 0.3281 0.6701 Ir
0.0000 0.5803 0.5803 La
0.5000 0.7544 0.0062 Mg
0.5000 0.2414 0.2414 Mg
0.5000 0.0062 0.7544 Mg
0.0000 0.0095 0.0095 Pt
0.0000 0.9992 0.4109 Tm
0.0000 0.4109 0.9992 Tm
```

=====

Entry 8:
A relaxed structure of HgTeIrO, computed with PBE.

## Properties
Space-group type: No. 26
DFT total energy in eV/atom: -4.4820
Total magnetic moment in Bohr magnetons per cell: 0.011
ΔE to the lowest computed polymorph in kJ per mole of atoms: 0.0

```
HgTeIrO
1.0
3.9589 0.0000 0.0000
0.0000 7.9348 0.0000
0.0000 0.0000 5.4841
Hg Ir O Te
2 2 2 2
Direct
0.0000 0.4096 0.1929 Hg
0.0000 0.5904 0.6929 Hg
0.5000 0.0000 0.4325 Ir
0.5000 0.0000 0.9325 Ir
0.5000 0.1890 0.1827 O
0.5000 0.8110 0.6827 O
0.0000 0.8379 0.1830 Te
0.0000 0.1621 0.6830 Te
```

=====

Entry 9:
A relaxed structure of LuBPO, computed with PBE.

## Properties
Space-group type: No. 129
DFT total energy in eV/atom: -6.0669
Total magnetic moment in Bohr magnetons per cell: 0.001
ΔE to the lowest computed polymorph in kJ per mole of atoms: 74.6

```
LuBPO
1.0
-3.4390 1.8153 -4.0779
-4.4509 -1.7844 2.9592
-0.2447 3.6393 1.8264
B Lu O P
2 2 2 2
Direct
0.0000 0.0000 0.1483 B
0.5000 0.5000 0.8517 B
0.5000 0.0000 0.5000 Lu
0.0000 0.5000 0.5000 Lu
0.5000 0.0000 0.0000 O
0.0000 0.5000 0.0000 O
0.5000 0.5000 0.3822 P
0.0000 0.0000 0.6178 P
```

=====

Entry 10:
A relaxed structure of KPtPb, computed with PBE.

## Properties
Space-group type: No. 216
DFT total energy in eV/atom: -3.5764
Total magnetic moment in Bohr magnetons per cell: 0.001

```
KPtPb
1.0
0.0000 3.5404 3.5404
3.5404 0.0000 3.5404
3.5404 3.5404 0.0000
K Pb Pt
1 1 1
Direct
0.2500 0.2500 0.2500 K
0.7500 0.7500 0.7500 Pb
0.0000 0.0000 0.0000 Pt
```

=====

Entry 11:
A relaxed structure of SnTe2Mo, computed with PBE.

## Properties
Space-group type: No. 216
DFT total energy in eV/atom: -4.5516
Total magnetic moment in Bohr magnetons per cell: 0.349

```
SnTe2Mo
1.0
1.7725 -4.3135 -1.9692
-2.5044 -4.3368 0.7388
-2.4280 -2.2088 -3.8538
Mo Sn Te
1 1 2
Direct
0.7500 0.7500 0.7500 Mo
0.0000 0.0000 0.0000 Sn
0.2500 0.2500 0.2500 Te
0.5000 0.5000 0.5000 Te
```

=====

Entry 12:
A relaxed structure of ThZrAg, computed with PBE.

## Properties
DFT formation energy in eV/f.u.: 1.31
Space-group type: No. 216
DFT total energy in eV/atom: -5.8249
Total magnetic moment in Bohr magnetons per cell: 0.021

```
ThZrAg
1.0
2.6419 0.2155 4.1331
1.5782 4.3347 1.6818
-1.9638 1.9161 4.0720
Ag Th Zr
1 1 1
Direct
0.0000 0.0000 0.0000 Ag
0.2500 0.2500 0.2500 Th
0.7500 0.7500 0.7500 Zr
```

=====

Q: Which of these has the lowest DFT total energy?
A: Th3Co